A plane-wave DFT calculation with PBE was carried out for a geometry-optimized LaTbNdIn structure.

Computed properties:
- Raw total energy: -4.3801 eV per atom
- Formation energy: -0.114 eV per atom
- Polymorph energy (0 for the lowest one): 44.6 meV/atom
- M_tot: 0.1 Bohr magnetons per cell

Cell: 7.869 7.869 7.869 Å, 90.00 90.00 90.00°
Space group F-43m (No. 216)
Unique sites:
La1 0.000 0.000 0.000 (multiplicity 4)
Tb1 0.250 0.250 0.250 (multiplicity 4)
Nd1 0.250 0.250 0.750 (multiplicity 4)
In1 0.000 0.000 0.500 (multiplicity 4)